Entry 1:
{
  "formula": "Ac5Pr6Er",
  "functional": "PBE",
  "state": "optimized geometry",
  "lattice_angstrom": [[-3.040, 4.242, 9.182], [3.040, -4.242, 9.182], [3.040, 4.242, -9.182]],
  "species": ["Ac", "Ac", "Ac", "Ac", "Ac", "Pr", "Pr", "Pr", "Pr", "Pr", "Pr", "Er"],
  "frac_coords": [[0.000, 0.000, 0.000], [0.160, 0.660, 0.500], [0.310, 0.310, 0.000], [0.690, 0.690, 0.000], [0.840, 0.340, 0.500], [0.132, 0.846, 0.285], [0.285, 0.500, 0.785], [0.439, 0.154, 0.285], [0.561, 0.846, 0.715], [0.715, 0.500, 0.215], [0.868, 0.154, 0.715], [0.500, 0.000, 0.500]],
  "ef_ev_per_atom": 0.092,
  "total_magnetization_mub_per_cell": 0.0,
  "volume_a3_per_atom": 39.5
}



Entry 2:
{
  "formula": "Li2SnPb8",
  "functional": "PBE",
  "state": "optimized geometry",
  "lattice_angstrom": [[9.070, -2.372, 0.000], [9.070, 2.372, 0.000], [-2.414, 0.000, 7.309]],
  "species": ["Li", "Li", "Sn", "Pb", "Pb", "Pb", "Pb", "Pb", "Pb", "Pb", "Pb"],
  "frac_coords": [[0.190, 0.190, 0.206], [0.810, 0.810, 0.794], [0.500, 0.500, 0.500], [0.029, 0.029, 0.247], [0.199, 0.199, 0.810], [0.328, 0.328, 0.543], [0.398, 0.398, 0.022], [0.602, 0.602, 0.978], [0.672, 0.672, 0.457], [0.801, 0.801, 0.190], [0.971, 0.971, 0.753]],
  "ef_ev_per_atom": -0.036,
  "total_magnetization_mub_per_cell": 0.0,
  "volume_a3_per_atom": 28.6
}



Entry 3:
{
  "formula": "AlGa2Rh5",
  "functional": "PBE",
  "state": "optimized geometry",
  "lattice_angstrom": [[5.285, 0.000, 0.000], [0.000, 10.187, 0.000], [0.000, 0.000, 4.174]],
  "species": ["Al", "Al", "Ga", "Ga", "Ga", "Ga", "Rh", "Rh", "Rh", "Rh", "Rh", "Rh", "Rh", "Rh", "Rh", "Rh"],
  "frac_coords": [[0.000, 0.000, 0.000], [0.500, 0.500, 0.000], [0.149, 0.367, 0.500], [0.351, 0.867, 0.500], [0.649, 0.133, 0.500], [0.851, 0.633, 0.500], [0.000, 0.500, 0.000], [0.143, 0.770, 0.000], [0.165, 0.113, 0.500], [0.335, 0.613, 0.500], [0.357, 0.270, 0.000], [0.500, 0.000, 0.000], [0.643, 0.730, 0.000], [0.665, 0.387, 0.500], [0.835, 0.887, 0.500], [0.857, 0.230, 0.000]],
  "ef_ev_per_atom": -0.609,
  "total_magnetization_mub_per_cell": 0.0,
  "volume_a3_per_atom": 14.0
}



Entry 4:
{
  "formula": "PmSm2Tm9",
  "functional": "PBE",
  "state": "optimized geometry",
  "lattice_angstrom": [[11.137, 0.000, 0.000], [-5.569, 9.645, 0.000], [0.000, 0.000, 3.494]],
  "species": ["Pm", "Sm", "Sm", "Tm", "Tm", "Tm", "Tm", "Tm", "Tm", "Tm", "Tm", "Tm"],
  "frac_coords": [[0.000, 0.000, 0.000], [0.333, 0.667, 0.000], [0.667, 0.333, 0.000], [0.000, 0.500, 0.000], [0.177, 0.353, 0.500], [0.177, 0.823, 0.500], [0.353, 0.177, 0.500], [0.500, 0.000, 0.000], [0.500, 0.500, 0.000], [0.647, 0.823, 0.500], [0.823, 0.177, 0.500], [0.823, 0.647, 0.500]],
  "ef_ev_per_atom": 0.058,
  "total_magnetization_mub_per_cell": 0.0,
  "relative_energy_mev_per_atom": 31.4,
  "volume_a3_per_atom": 31.3
}